(1)
Here is Na6Tl3Ag after structural relaxation from Alexandria. Energies are from PBE.

The structure in CIF format:
```
data_Na6Tl3Ag
_cell_length_a 6.412
_cell_length_b 9.383
_cell_length_c 10.004
_cell_angle_alpha 92.37
_cell_angle_beta 90.00
_cell_angle_gamma 90.00
_space_group_name_H-M_alt 'P 1'
_space_group_IT_number 1
loop_
_space_group_symop_operation_xyz
'x,y,z'
loop_
_atom_site_label
_atom_site_type_symbol
_atom_site_fract_x
_atom_site_fract_y
_atom_site_fract_z
_atom_site_occupancy
Na1 Na 0.926 0.323 0.063 1
Na2 Na 0.906 0.329 0.432 1
Na3 Na 0.744 0.145 0.762 1
Na4 Na 0.256 0.855 0.238 1
Na5 Na 0.094 0.671 0.568 1
Na6 Na 0.074 0.677 0.937 1
Na7 Na 0.574 0.823 0.563 1
Na8 Na 0.594 0.829 0.932 1
Na9 Na 0.756 0.645 0.262 1
Na10 Na 0.244 0.355 0.738 1
Na11 Na 0.406 0.171 0.068 1
Na12 Na 0.426 0.177 0.437 1
Tl1 Tl 0.255 0.498 0.263 1
Tl2 Tl 0.500 0.500 0.000 1
Tl3 Tl 0.745 0.502 0.737 1
Tl4 Tl 0.245 0.998 0.763 1
Tl5 Tl 0.000 0.000 0.500 1
Tl6 Tl 0.755 0.002 0.237 1
Ag1 Ag 0.500 0.500 0.500 1
Ag2 Ag 0.000 0.000 0.000 1
```

Calculated values
N(E_F)   9.87 states/eV/cell
Symmetry   P2_1/c, No. 14
Raw total energy   -1.845 eV/atom
E_form   -0.059 eV/atom

---

(2)
Here is WBr2Cl after structural relaxation from Alexandria. Energies are from PBE.

The structure in CIF format:
```
data_WBr2Cl
_cell_length_a 3.397
_cell_length_b 7.808
_cell_length_c 7.807
_cell_angle_alpha 34.58
_cell_angle_beta 90.00
_cell_angle_gamma 90.00
_space_group_name_H-M_alt 'P 1'
_space_group_IT_number 1
loop_
_space_group_symop_operation_xyz
'x,y,z'
loop_
_atom_site_label
_atom_site_type_symbol
_atom_site_fract_x
_atom_site_fract_y
_atom_site_fract_z
_atom_site_occupancy
Br1 Br 0.000 0.883 0.883 1
Br2 Br 0.000 0.617 0.617 1
W1 W 0.500 0.750 0.750 1
Cl1 Cl 0.500 0.250 0.250 1
```

Calculated values
N(E_F)   3.51 states/eV/cell
Symmetry   Cmmm, No. 65
Raw total energy   -4.790 eV/atom
Energy relative to the lowest polymorph listed for this composition   4 meV/atom

---

(3)
Here is MgBr2Cl after structural relaxation from Alexandria. Energies are from PBE.

The structure in CIF format:
```
data_MgBr2Cl
_cell_length_a 11.468
_cell_length_b 11.468
_cell_length_c 11.468
_cell_angle_alpha 18.90
_cell_angle_beta 18.90
_cell_angle_gamma 18.90
_space_group_name_H-M_alt 'P 1'
_space_group_IT_number 1
loop_
_space_group_symop_operation_xyz
'x,y,z'
loop_
_atom_site_label
_atom_site_type_symbol
_atom_site_fract_x
_atom_site_fract_y
_atom_site_fract_z
_atom_site_occupancy
Br1 Br 0.037 0.037 0.037 1
Br2 Br 0.463 0.463 0.463 1
Cl1 Cl 0.250 0.250 0.250 1
Mg1 Mg 0.750 0.750 0.750 1
```

Calculated values
N(E_F)   3.54 states/eV/cell
Symmetry   R-3m, No. 166
Raw total energy   -2.512 eV/atom
Energy relative to the lowest polymorph listed for this composition   175 meV/atom

---

What is the raw total energy in the second record? -4.790 eV/atom

---

What is the formula in the first record? Na6Tl3Ag

---

The lowest raw total energy belongs to which entry? WBr2Cl

---

The lowest N(E_F) belongs to which entry? WBr2Cl